Entry from Alexandria: a geometry-optimized HoTm3Mg7 structure (PBE).

Results
- Energy above the lowest structure with this stoichiometry: 101.2 meV/atom
- Mass density: 4.51 g/cm³
- Total magnetic moment: 0.00 μB per cell
- Calculated formation energy: 0.212 eV/atom
- Uncorrected energy: -53.64 eV per cell

CIF file:
```
data_HoTm3Mg7
_symmetry_space_group_name_H-M 'C 1 2/m 1'
_symmetry_Int_Tables_number 12
_cell_length_a 10.739
_cell_length_b 10.115
_cell_length_c 6.007
_cell_angle_alpha 90.00
_cell_angle_beta 108.15
_cell_angle_gamma 90.00
loop_
_symmetry_equiv_pos_as_xyz
'x,y,z'
'-x,-y,-z'
'-x,y,-z'
'x,-y,z'
'x+1/2,y+1/2,z'
'-x+1/2,-y+1/2,-z'
'-x+1/2,y+1/2,-z'
'x+1/2,-y+1/2,z'
loop_
_atom_site_label
_atom_site_type_symbol
_atom_site_fract_x
_atom_site_fract_y
_atom_site_fract_z
_atom_site_occupancy
Ho1 Ho 0.000 0.000 0.000 1
Tm1 Tm 0.000 0.309 0.500 1
Tm2 Tm 0.000 0.500 0.000 1
Mg1 Mg 0.000 0.000 0.500 1
Mg2 Mg 0.192 0.257 0.190 1
Mg3 Mg 0.237 0.500 0.523 1
```